Density functional theory data (GGA+U) for Al2Tl2VO6 after structural relaxation.

* energy: -6.296 eV/atom
* symmetry: R-3m (166)
* total magnetization: 1.00 μB per formula unit

Lattice parameters (Å, degrees): 5.7389 5.7389 6.5437 63.99 63.99 60.00
With the nearest neighbours (Å) after each atom.
Positions (direct):
O 0.7707 0.7707 0.2042  1 Al 1.72
O 0.2293 0.2293 0.7958  1 Al 1.72
O 0.7456 0.2293 0.7958  1 Al 1.72
O 0.2293 0.7456 0.7958  1 Al 1.72
O 0.7707 0.2544 0.2042  1 Al 1.72
O 0.2544 0.7707 0.2042  1 Al 1.72
Al 0.6100 0.6100 0.1700  3 O 1.72
Al 0.3900 0.3900 0.8300  3 O 1.72
Tl 0.2029 0.2029 0.3914  9 O 2.79-3.06
Tl 0.7971 0.7971 0.6086  9 O 2.79-3.06
V 0.0000 0.0000 0.0000  6 O 1.97